{"formula": "K3VO4", "functional": "GGA+U", "state": "relaxed", "lattice_angstrom": [[6.582, -0.002, 0.000], [1.694, 6.360, 0.000], [-4.138, -3.179, 4.011]], "species": ["V", "K", "K", "K", "O", "O", "O", "O"], "frac_coords": [[0.000, 0.000, 0.000], [0.500, 0.500, 0.000], [0.250, 0.750, 0.500], [0.750, 0.250, 0.500], [0.084, 0.084, 0.359], [0.276, 0.916, 0.000], [0.916, 0.276, 0.000], [0.724, 0.724, 0.641]], "final_energy_ev_per_atom": -5.74, "space_group": "I-42m (121)", "rho_kg_m3": 2297}